Record 1
Here is crystalline Li2Zn4F9 at its relaxed geometry from Alexandria via LeMat-Bulk. Energies are from PBE.

For the total energy, the calculation gives -4.02 eV/atom. As for the crystal system: trigonal.

The structure belongs to space group P-3c1 (No. 165); the cell edges are 5.3088, 5.3088 and 14.3904 Å and the angles 90.00°, 90.00° and 120.00°. The inequivalent atoms are Li at (0.0000, 0.0000, 0.1506), Zn at (0.3333, 0.6667, 0.0260), Zn at (0.3333, 0.6667, 0.3131), F at (0.0000, 0.3071, 0.2500) and F at (0.0316, 0.3570, 0.9136).

---

Record 2
Here is crystalline Li3ZnF6 at its relaxed geometry from Alexandria via LeMat-Bulk. Energies are from PBE.

For the total energy, the calculation gives -4.27 eV/atom. As for the crystal system: trigonal.

The structure belongs to space group R-3 (No. 148, hexagonal axes); the cell edges are 8.5798, 8.5798 and 10.2684 Å and the angles 90.00°, 90.00° and 120.00°. The inequivalent atoms are Li at (0.0410, 0.7767, 0.2097), Zn at (0.0000, 0.0000, 0.0000), Zn at (0.0000, 0.0000, 0.5000), F at (0.0217, 0.8332, 0.8787) and F at (0.0289, 0.8215, 0.3976).

---

Record 3
Here is crystalline Li2ZnF at its relaxed geometry from Alexandria via LeMat-Bulk. Energies are from PBE.

As for the crystal system: trigonal. Its offset from the most stable computed form is 0 meV per atom.

The structure belongs to space group R-3m (No. 166, hexagonal axes); the cell edges are 2.8138, 2.8138 and 21.4188 Å and the angles 90.00°, 90.00° and 120.00°. The inequivalent atoms are Li at (0.0000, 0.0000, 0.2225), Zn at (0.0000, 0.0000, 0.0000) and F at (0.0000, 0.0000, 0.5000).

---

Record 4
Here is crystalline Li2ZnF5 at its relaxed geometry from Alexandria via LeMat-Bulk. Energies are from PBE.

For the total energy, the calculation gives -4.13 eV/atom. As for the crystal system: orthorhombic.

The structure belongs to space group Cmcm (No. 63); the cell edges are 3.981, 9.911 and 9.745 Å and the angles 90.00°, 90.00° and 90.00°. The inequivalent atoms are Li at (0.000, 0.144, 0.068), Zn at (0.000, 0.188, 0.750), F at (0.000, 0.050, 0.613), F at (0.000, 0.264, 0.250) and F at (0.000, 0.312, 0.590).

---

Record 5
Here is crystalline Li6ZrF12 at its relaxed geometry from Alexandria via LeMat-Bulk. Energies are from PBE.

For the total energy, the calculation gives -4.99 eV/atom. As for the crystal system: trigonal.

The structure belongs to space group R-3 (No. 148, hexagonal axes); the cell edges are 9.2917, 9.2917 and 8.5470 Å and the angles 90.00°, 90.00° and 120.00°. The inequivalent atoms are Li at (0.0139, 0.2338, 0.1355), Zr at (0.0000, 0.0000, 0.5000), F at (0.0043, 0.1878, 0.3725) and F at (0.0106, 0.1977, 0.8893).

---

Record 6
Here is crystalline LiZrF5 at its relaxed geometry from Alexandria via LeMat-Bulk. Energies are from PBE.

As for the crystal system: monoclinic. Its offset from the most stable computed form is 0 meV per atom.

The structure belongs to space group C2/c (No. 15); the cell edges are 8.476, 7.788 and 8.200 Å and the angles 90.00°, 119.62° and 90.00°. The inequivalent atoms are Li at (0.000, 0.096, 0.250), Zr at (0.000, 0.500, 0.000), F at (0.000, 0.432, 0.750), F at (0.014, 0.252, 0.437) and F at (0.227, 0.014, 0.857).

---

Record 7
Here is crystalline LiZrF5 at its relaxed geometry from Alexandria via LeMat-Bulk. Energies are from PBE.

As for the crystal system: orthorhombic. Its offset from the most stable computed form is 45 meV per atom.

The structure belongs to space group Immm (No. 71); the cell edges are 4.182, 6.884 and 7.762 Å and the angles 90.00°, 90.00° and 90.00°. The inequivalent atoms are Li at (0.000, 0.000, 0.000), Zr at (0.000, 0.000, 0.500), F at (0.000, 0.000, 0.240), F at (0.000, 0.292, 0.500) and F at (0.000, 0.500, 0.000).

---

Record 8
Here is crystalline Li3ZrF8 at its relaxed geometry from Alexandria via LeMat-Bulk. Energies are from PBE.

For the total energy, the calculation gives -5.36 eV/atom. As for the crystal system: cubic.

The structure belongs to space group Pm-3m (No. 221); the cell edges are 5.096, 5.096 and 5.096 Å and the angles 90.00°, 90.00° and 90.00°. The inequivalent atoms are Li at (0.000, 0.000, 0.500), Zr at (0.500, 0.500, 0.500) and F at (0.258, 0.258, 0.258).

---

Record 9
Here is crystalline Li3ZrF7 at its relaxed geometry from Alexandria via LeMat-Bulk. Energies are from PBE.

For the total energy, the calculation gives -5.78 eV/atom. As for the crystal system: monoclinic.

The structure belongs to space group Cm (No. 8); the cell edges are 7.677, 7.448 and 5.748 Å and the angles 90.00°, 122.21° and 90.00°. The inequivalent atoms are Li at (0.000, 0.000, 0.000), Li at (0.186, 0.240, 0.845), Zr at (0.103, 0.500, 0.253), F at (0.068, 0.311, 0.482), F at (0.270, 0.000, 0.039), F at (0.270, 0.500, 0.052), F at (0.394, 0.500, 0.591) and F at (0.499, 0.230, 0.986).

---

Record 10
Here is crystalline Li3ZrF at its relaxed geometry from Alexandria via LeMat-Bulk. Energies are from PBE.

As for the crystal system: cubic. Its offset from the most stable computed form is 0 meV per atom.

The structure belongs to space group Pm-3m (No. 221); the cell edges are 4.312, 4.312 and 4.312 Å and the angles 90.00°, 90.00° and 90.00°. The inequivalent atoms are Li at (0.000, 0.000, 0.500), Zr at (0.500, 0.500, 0.500) and F at (0.000, 0.000, 0.000).

---

Record 11
Here is crystalline Li4ZrF8 at its relaxed geometry from Alexandria via LeMat-Bulk. Energies are from PBE.

As for the crystal system: orthorhombic. Its offset from the most stable computed form is 0 meV per atom.

The structure belongs to space group Pnma (No. 62); the cell edges are 9.745, 9.705 and 5.759 Å and the angles 90.00°, 90.00° and 90.00°. The inequivalent atoms are Li at (0.104, 0.080, 0.129), Li at (0.131, 0.059, 0.619), Zr at (0.135, 0.750, 0.368), F at (0.019, 0.616, 0.147), F at (0.022, 0.622, 0.601), F at (0.213, 0.250, 0.118), F at (0.214, 0.250, 0.618) and F at (0.234, 0.536, 0.372).

---

Record 12
Here is crystalline Li3ZrF at its relaxed geometry from Alexandria via LeMat-Bulk. Energies are from PBE.

As for the crystal system: cubic. Its offset from the most stable computed form is 1206 meV per atom.

The structure belongs to space group Pm-3m (No. 221); the cell edges are 5.604, 5.604 and 5.604 Å and the angles 90.00°, 90.00° and 90.00°. The inequivalent atoms are Li at (0.000, 0.000, 0.500), Zr at (0.000, 0.000, 0.000) and F at (0.500, 0.500, 0.500).

---

Which ρ belongs to each record? In order, 4.22; 3.05; 3.33; 3.01; 2.81; 2.73; 2.87; 3.31; 2.93; 2.71; 3.31; 1.24 g/cm³.